[1]
Cr2CuHg, relaxed, DFT PBE; final energy = -5.25 eV per atom
1.0
2.683 0.000 0.000
0.000 2.683 0.000
0.000 0.000 7.849
Cr Cu Hg
2 1 1
direct
0.000 0.000 0.221
0.000 0.000 0.779
0.500 0.500 0.000
0.500 0.500 0.500

***

[2]
Cr2CuHg, relaxed, DFT PBE; final energy = -5.49 eV per atom
1.0
1.439 0.831 8.344
-1.439 0.831 8.344
0.000 -1.662 8.344
Cr Cu Hg
2 1 1
direct
0.000 0.000 0.000
0.274 0.274 0.274
0.748 0.748 0.748
0.508 0.508 0.508

***

[3]
CrCu2Hg, relaxed, DFT PBE; final energy = -4.19 eV per atom
1.0
0.000 3.130 3.130
3.130 0.000 3.130
3.130 3.130 0.000
Cr Cu Hg
1 2 1
direct
0.000 0.000 0.000
0.500 0.500 0.500
0.750 0.750 0.750
0.250 0.250 0.250

***

[4]
Cr2CuHg, relaxed, DFT PBE; final energy = -5.39 eV per atom
1.0
3.333 0.000 0.000
0.000 3.333 0.000
0.000 0.000 5.352
Cr Cu Hg
2 1 1
direct
0.000 0.000 0.179
0.000 0.000 0.821
0.500 0.500 0.000
0.500 0.500 0.500